Entry 1:
Here is a relaxed ReMo2W crystal from Alexandria. Energies are from GGA-PBEsol. Values from VASP.

Structure (Quantum ESPRESSO input):
```
&SYSTEM
  ibrav = 0, nat = 4, ntyp = 3
/
ATOMIC_SPECIES
Re 186.21 Re.upf
Mo 95.94 Mo.upf
W 183.84 W.upf
ATOMIC_POSITIONS crystal
Re 0.0000 0.0000 0.0000
Mo 0.0000 0.5000 0.5000
Mo 0.5000 0.0000 0.5000
W 0.5000 0.5000 0.0000
CELL_PARAMETERS angstrom
3.1179 0.0000 0.0000
0.0000 4.4056 0.0000
0.0000 0.0000 4.4271
```

Values from the calculation:
The value obtained for the formation energy is 0.03 eV/atom. The value obtained for the energy is -50.6 eV per cell. The density of states at the Fermi level is 3.02 states/eV/f.u.



Entry 2:
Here is a relaxed ReMo2W crystal from Alexandria. Energies are from GGA-PBEsol. Values from VASP.

Structure (Quantum ESPRESSO input):
```
&SYSTEM
  ibrav = 0, nat = 4, ntyp = 3
/
ATOMIC_SPECIES
Re 186.21 Re.upf
Mo 95.94 Mo.upf
W 183.84 W.upf
ATOMIC_POSITIONS crystal
Re 0.0000 0.0000 0.0000
Mo 0.2582 0.5000 0.7487
Mo 0.5033 0.0000 0.5008
W 0.7489 0.5000 0.2487
CELL_PARAMETERS angstrom
2.7068 0.0000 0.0000
0.0000 4.4034 0.0000
-0.9109 0.0000 5.0998
```

Values from the calculation:
The value obtained for the formation energy is 0.04 eV/atom. The value obtained for the energy is -50.5 eV per cell. The density of states at the Fermi level is 3.02 states/eV/f.u.



Entry 3:
Here is a relaxed ReMo2W crystal from Alexandria. Energies are from GGA-PBEsol. Values from VASP.

Structure (Quantum ESPRESSO input):
```
&SYSTEM
  ibrav = 0, nat = 4, ntyp = 3
/
ATOMIC_SPECIES
Re 186.21 Re.upf
Mo 95.94 Mo.upf
W 183.84 W.upf
ATOMIC_POSITIONS crystal
Re 0.0000 0.0000 0.0000
Mo 0.0000 0.5000 0.5000
Mo 0.5000 0.0000 0.5000
W 0.5000 0.5000 0.0000
CELL_PARAMETERS angstrom
2.6961 -4.4137 0.0000
2.6961 4.4137 0.0000
-0.9005 0.0000 2.5546
```

Values from the calculation:
The value obtained for the formation energy is 0.04 eV/atom. The value obtained for the energy is -50.5 eV per cell. The density of states at the Fermi level is 3.02 states/eV/f.u.



Entry 4:
Here is a relaxed ReMo2W crystal from Alexandria. Energies are from GGA-PBEsol. Values from VASP.

Structure (Quantum ESPRESSO input):
```
&SYSTEM
  ibrav = 0, nat = 4, ntyp = 3
/
ATOMIC_SPECIES
Re 186.21 Re.upf
Mo 95.94 Mo.upf
W 183.84 W.upf
ATOMIC_POSITIONS crystal
Re 0.0000 0.0000 0.0000
Mo 0.0000 0.0000 0.4992
Mo 0.5000 0.5000 0.7392
W 0.5000 0.5000 0.2450
CELL_PARAMETERS angstrom
3.1229 0.0000 0.0000
0.0000 3.1229 0.0000
0.0000 0.0000 6.2504
```

Values from the calculation:
The value obtained for the formation energy is 0.04 eV/atom. The value obtained for the energy is -50.5 eV per cell. The density of states at the Fermi level is 2.81 states/eV/f.u.



Entry 5:
Here is a relaxed ReMo2W crystal from Alexandria. Energies are from GGA-PBEsol. Values from VASP.

Structure (Quantum ESPRESSO input):
```
&SYSTEM
  ibrav = 0, nat = 4, ntyp = 3
/
ATOMIC_SPECIES
Re 186.21 Re.upf
Mo 95.94 Mo.upf
W 183.84 W.upf
ATOMIC_POSITIONS crystal
Re 0.0000 0.0000 0.0000
Mo 0.0000 0.0000 0.5014
Mo 0.5000 0.5000 0.7512
W 0.5000 0.5000 0.2497
CELL_PARAMETERS angstrom
1.5600 -2.2135 0.0000
1.5600 2.2135 0.0000
0.0000 0.0000 8.8123
```

Values from the calculation:
The value obtained for the formation energy is 0.06 eV/atom. The value obtained for the energy is -50.4 eV per cell. The density of states at the Fermi level is 3.27 states/eV/f.u.



Entry 6:
Here is a relaxed ReMo2W crystal from Alexandria. Energies are from GGA-PBEsol. Values from VASP.

Structure (Quantum ESPRESSO input):
```
&SYSTEM
  ibrav = 0, nat = 4, ntyp = 3
/
ATOMIC_SPECIES
Re 186.21 Re.upf
Mo 95.94 Mo.upf
W 183.84 W.upf
ATOMIC_POSITIONS crystal
Re 0.0000 0.0000 0.0000
Mo 0.0000 0.5000 0.5000
Mo 0.5000 0.0000 0.5000
W 0.5000 0.5000 0.0000
CELL_PARAMETERS angstrom
4.4159 0.0000 0.0000
0.0000 4.4159 0.0000
0.0000 0.0000 3.1191
```

Values from the calculation:
The value obtained for the formation energy is 0.05 eV/atom. The value obtained for the energy is -50.5 eV per cell. The density of states at the Fermi level is 3.14 states/eV/f.u.